# HgIrF3

HgIrF3 after structural relaxation (PBE, the Alexandria database).

The structure in POSCAR format:
```
HgIrF3
1.0
4.5303 0.0000 0.0000
0.0000 4.5303 0.0000
0.0000 0.0000 4.5303
Hg Ir F
1 1 3
Direct
0.0000 0.0000 0.0000
0.5000 0.5000 0.5000
0.0000 0.0000 0.5000
0.0000 0.5000 0.0000
0.5000 0.0000 0.0000
```

Values from the calculation:
Offset from the most stable computed form   3.61 eV per formula unit
Space-group type   No. 221



# MnGaHOs

MnGaHOs after structural relaxation (PBE, the Alexandria database).

The structure in POSCAR format:
```
MnGaHOs
1.0
2.7454 0.0000 0.0000
0.0000 2.7961 0.0000
0.0000 0.0000 5.9530
Mn Ga H Os
1 1 1 1
Direct
0.0000 0.0000 0.0000
0.5000 0.5000 0.7130
0.5000 0.0000 0.4470
0.5000 0.5000 0.2564
```

Values from the calculation:
Offset from the most stable computed form   0.00 eV per formula unit
Space-group type   No. 25



no.,calculated volume (Å³/atom)
1,18.60
2,11.42